(1)
Compound: ScSbRu2
Source: the Alexandria database
Functional: PBE
Structure: optimized geometry

The value obtained for the uncorrected formation energy is -0.529 eV per atom. As for the space group: P4/mmm.

Lattice parameters (Å, degrees): 4.4630 4.4630 3.2995 90.00 90.00 90.00
Closest atoms and distances in Å follow each position.
Positions (direct):
Sc  0.0000  0.0000  0.0000  8 Ru 2.78
Sb  0.5000  0.5000  0.0000  8 Ru 2.78
Ru  0.0000  0.5000  0.5000  4 Sb 2.78, 4 Sc 2.78
Ru  0.5000  0.0000  0.5000  4 Sb 2.78, 4 Sc 2.78



(2)
Compound: Tb6Sb2TeAs3
Source: the Alexandria database
Functional: PBE
Structure: optimized geometry

The value obtained for the uncorrected formation energy is -1.404 eV per atom. As for the space group: C2/m.

Lattice parameters (Å, degrees): 9.5543 9.5543 8.5746 103.56 103.56 25.68
Closest atoms and distances in Å follow each position.
Positions (direct):
Tb  0.0039  0.0039  0.2335  3 As 2.91-2.93, 1 Sb 3.08, 2 Te 3.13
Tb  0.3273  0.3273  0.4254  3 As 2.93-2.94, 2 Sb 3.09, 1 Te 3.13
Tb  0.3367  0.3367  0.9074  3 As 2.95-2.96, 3 Sb 3.09
Tb  0.6633  0.6633  0.0926  3 As 2.95-2.96, 3 Sb 3.09
Tb  0.6727  0.6727  0.5746  3 As 2.93-2.94, 2 Sb 3.09, 1 Te 3.13
Tb  0.9961  0.9961  0.7665  3 As 2.91-2.93, 1 Sb 3.08, 2 Te 3.13
Sb  0.1661  0.1661  0.8320  6 Tb 3.08-3.09
Sb  0.8339  0.8339  0.1680  6 Tb 3.08-3.09
Te  0.5000  0.5000  0.5000  6 Tb 3.13
As  0.1656  0.1656  0.3335  6 Tb 2.93-2.96
As  0.5000  0.5000  0.0000  6 Tb 2.91-2.95
As  0.8344  0.8344  0.6665  6 Tb 2.93-2.96



(3)
Compound: Na2AlTcO6
Source: the Alexandria database
Functional: PBE
Structure: optimized geometry

The value obtained for the uncorrected formation energy is -1.832 eV per atom. As for the space group: Fm-3m.

Lattice parameters (Å, degrees): 5.3571 5.3571 5.3571 60.00 60.00 60.00
Closest atoms and distances in Å follow each position.
Positions (direct):
Na  0.2500  0.2500  0.2500  12 O 2.68
Na  0.7500  0.7500  0.7500  12 O 2.68
Al  0.0000  0.0000  0.0000  6 O 1.90
Tc  0.5000  0.5000  0.5000  6 O 1.89
O  0.2502  0.2502  0.7498  1 Tc 1.89, 1 Al 1.90
O  0.2502  0.7498  0.2502  1 Tc 1.89, 1 Al 1.90
O  0.2502  0.7498  0.7498  1 Tc 1.89, 1 Al 1.90
O  0.7498  0.2502  0.2502  1 Tc 1.89, 1 Al 1.90
O  0.7498  0.2502  0.7498  1 Tc 1.89, 1 Al 1.90
O  0.7498  0.7498  0.2502  1 Tc 1.89, 1 Al 1.90



(4)
Compound: VAgPb
Source: the Alexandria database
Functional: PBE
Structure: optimized geometry

As for the space group: P1. For the formation enthalpy at 0 K, the calculation gives 0.360 eV/atom.

Lattice parameters (Å, degrees): 3.1329 5.8350 6.9544 96.49 93.34 105.53
Closest atoms and distances in Å follow each position.
Positions (direct):
V  0.0000  0.0000  0.0000  1 V 2.18
V  0.3519  0.8931  0.2382  1 V 2.18
Ag  0.0714  0.3100  0.3589  4 Ag 2.84-3.13, 3 V 2.84-2.87, 4 Pb 3.04-3.10
Ag  0.5435  0.1784  0.6700  4 Ag 2.84-3.13, 4 Pb 2.88-3.17, 2 V 3.05-3.06
Pb  0.6173  0.4886  0.0299  3 Ag 2.88-3.05, 4 V 2.94-2.98, 2 Pb 3.13
Pb  0.8242  0.7207  0.5930  5 Ag 2.97-3.17, 3 V 3.04-3.20, 2 Pb 3.13



no.,size of the total moment (μB per formula unit)
1,0.00
2,0.00
3,0.00
4,0.00